Here is crystalline CdCoWAu at its relaxed geometry from the Open Quantum Materials Database. Energies are from PBE.

Size of the total moment ... 0.014 μB per formula unit
Calculated volume ... 15.76 A^3/atom
Raw total energy ... -21.8 eV per formula unit

Unit cell a=6.3174 b=6.3174 c=6.3174 alpha=90.00 beta=90.00 gamma=90.00
Space group F-43m (No. 216)
Asymmetric unit:
Cd  0.0000  0.0000  0.0000
Co  0.0000  0.0000  0.5000
W  0.2500  0.2500  0.2500
Au  0.2500  0.2500  0.7500


Here is crystalline CdCoWAu at its relaxed geometry from the Open Quantum Materials Database. Energies are from PBE.

Size of the total moment ... 0.147 μB per formula unit
Calculated volume ... 16.01 A^3/atom
Raw total energy ... -22.0 eV per formula unit

Unit cell a=6.3516 b=6.3516 c=6.3516 alpha=90.00 beta=90.00 gamma=90.00
Space group F-43m (No. 216)
Asymmetric unit:
Cd  0.0000  0.0000  0.0000
Co  0.2500  0.2500  0.7500
W  0.0000  0.0000  0.5000
Au  0.2500  0.2500  0.2500


Here is crystalline CsCd4Au2 at its relaxed geometry from the Open Quantum Materials Database. Energies are from PBE.

Calculated volume ... 25.60 A^3/atom
Raw total energy ... -12.4 eV per formula unit

Unit cell a=8.8485 b=8.8485 c=4.5775 alpha=90.00 beta=90.00 gamma=90.00
Space group P4_2/mnm (No. 136)
Asymmetric unit:
Cs  0.0000  0.0000  0.0000
Cd  0.0877  0.3448  0.5000
Au  0.2262  0.7738  0.5000


Repeat the third record exactly.
Here is crystalline CsCd4Au2 at its relaxed geometry from the Open Quantum Materials Database. Energies are from PBE.

Calculated volume ... 25.60 A^3/atom
Raw total energy ... -12.4 eV per formula unit

Unit cell a=8.8485 b=8.8485 c=4.5775 alpha=90.00 beta=90.00 gamma=90.00
Space group P4_2/mnm (No. 136)
Asymmetric unit:
Cs  0.0000  0.0000  0.0000
Cd  0.0877  0.3448  0.5000
Au  0.2262  0.7738  0.5000


What is the formula in the second record? CdCoWAu


What is the calculated volume in the second record? 16.01 A^3/atom